(1)
The following is a PBE-GGA calculation of an optimized crystal structure of CrS4, from Alexandria.

Calculated values
As for the polymorph energy (0 for the lowest one): 647 meV/atom. The space group is No. 221. For the formation energy from raw total energies, the calculation gives 500 meV per atom. The calculation puts the density of states at the Fermi level at 5.94 states/eV/cell.

a = 4.436 Å, b = 4.436 Å, c = 4.436 Å
α = 90.00°, β = 90.00°, γ = 90.00°
Positions (direct):
S 0.500 0.500 0.000
S 0.000 0.500 0.500
S 0.000 0.000 0.000
S 0.500 0.000 0.500
Cr 0.500 0.500 0.500

=====

(2)
The following is a PBE-GGA calculation of an optimized crystal structure of Cr2S5, from Alexandria.

Calculated values
The space group is No. 59. For the formation energy from raw total energies, the calculation gives -229 meV per atom. The calculation puts the density of states at the Fermi level at 2.38 states/eV/cell.

a = 4.221 Å, b = 6.591 Å, c = 13.330 Å
α = 90.00°, β = 90.00°, γ = 90.00°
Positions (direct):
S 0.500 0.991 0.184
Cr 0.000 0.867 0.844
Cr 0.000 0.867 0.156
S 0.000 0.566 0.825
S 0.500 0.434 0.675
S 0.000 0.009 0.684
S 0.500 0.068 0.500
S 0.500 0.991 0.816
S 0.500 0.434 0.325
S 0.000 0.009 0.316
Cr 0.500 0.133 0.344
S 0.000 0.566 0.175
S 0.000 0.932 0.000
Cr 0.500 0.133 0.656

=====

(3)
The following is a PBE-GGA calculation of an optimized crystal structure of CrSb3S, from Alexandria.

Calculated values
As for the polymorph energy (0 for the lowest one): 0 meV/atom. The space group is No. 221. For the formation energy from raw total energies, the calculation gives 351 meV per atom. The calculation puts the density of states at the Fermi level at 2.30 states/eV/cell.

a = 4.928 Å, b = 4.928 Å, c = 4.928 Å
α = 90.00°, β = 90.00°, γ = 90.00°
Positions (direct):
S 0.500 0.500 0.500
Sb 0.000 0.000 0.500
Sb 0.000 0.500 0.000
Sb 0.500 0.000 0.000
Cr 0.000 0.000 0.000

=====

formation energy from raw total energies of number 1 (CrS4)?
500 meV per atom

=====

Look up the formation energy from raw total energies of the first one.
500 meV per atom

=====

What is the formation energy from raw total energies in the third record?
351 meV per atom

=====

formation energy from raw total energies of number 3 (CrSb3S)?
351 meV per atom